# 1
The following is a DFT calculation (PBEsol) of crystalline Li2PmGa at its relaxed geometry.

Cell lengths 6.633, 6.633, 6.633 Å; angles 90.00, 90.00, 90.00 degrees
Space group Fm-3m (No. 225)
Asymmetric unit:
Li  0.250  0.250  0.250
Pm  0.000  0.000  0.000
Ga  0.000  0.000  0.500

Summary:
E_form	-0.2818	eV/atom
crystal system	cubic



# 2
The following is a DFT calculation (PBEsol) of crystalline Si2IrSe at its relaxed geometry.

Cell lengths 2.917, 2.917, 7.407 Å; angles 90.00, 90.00, 90.00 degrees
Space group P4mm (No. 99)
Asymmetric unit:
Si  0.000  0.000  0.000
Si  0.500  0.500  0.219
Ir  0.000  0.000  0.396
Se  0.500  0.500  0.678

Summary:
crystal system	tetragonal
formation energy (no corrections)	0.593	eV per formula unit



# 3
The following is a DFT calculation (PBEsol) of crystalline Mg2InAg at its relaxed geometry.

Cell lengths 6.247, 7.622, 3.357 Å; angles 90.00, 90.00, 90.00 degrees
Space group Cmmm (No. 65)
Asymmetric unit:
Mg  0.250  0.250  0.000
In  0.000  0.000  0.500
Ag  0.000  0.500  0.500

Summary:
E_form	-0.1367	eV/atom
crystal system	orthorhombic



# 4
The following is a DFT calculation (PBEsol) of crystalline CoMo2W at its relaxed geometry.

Cell lengths 5.362, 7.845, 2.710 Å; angles 90.00, 90.00, 90.00 degrees
Space group Cmmm (No. 65)
Asymmetric unit:
Co  0.000  0.000  0.000
Mo  0.250  0.250  0.500
W  0.000  0.500  0.000

Summary:
E_form	0.2977	eV/atom
polymorph energy (0 for the lowest one)	0.223	eV per atom
crystal system	orthorhombic



# 5
The following is a DFT calculation (PBEsol) of crystalline Hg2C at its relaxed geometry.

Cell lengths 4.133, 4.133, 3.122 Å; angles 90.00, 90.00, 90.00 degrees
Space group P4/mmm (No. 123)
Asymmetric unit:
Hg  0.000  0.500  0.000
C  0.000  0.000  0.500

Summary:
E_form	1.5898	eV/atom
polymorph energy (0 for the lowest one)	0.000	eV per atom
crystal system	tetragonal



# 6
The following is a DFT calculation (PBEsol) of crystalline ZrMnIn at its relaxed geometry.

Cell lengths 6.439, 6.439, 6.439 Å; angles 90.00, 90.00, 90.00 degrees
Space group F-43m (No. 216)
Asymmetric unit:
Zr  0.000  0.000  0.000
Mn  0.000  0.000  0.500
In  0.250  0.250  0.750

Summary:
E_form	0.5388	eV/atom
crystal system	cubic



# 7
The following is a DFT calculation (PBEsol) of crystalline K4Ti3NiP6O24 at its relaxed geometry.

Cell lengths 9.862, 9.858, 9.876 Å; angles 90.00, 90.20, 90.00 degrees
Space group P2_1 (No. 4)
Asymmetric unit:
K  0.038  0.000  0.193
K  0.178  0.274  0.569
K  0.309  0.644  0.060
K  0.444  0.905  0.716
Ti  0.159  0.617  0.412
Ti  0.333  0.292  0.913
Ti  0.390  0.066  0.358
Ni  0.106  0.850  0.858
P  0.021  0.161  0.875
P  0.125  0.933  0.545
P  0.203  0.330  0.225
P  0.290  0.576  0.724
P  0.380  0.983  0.043
P  0.473  0.747  0.371
O  0.008  0.015  0.925
O  0.013  0.503  0.484
O  0.039  0.678  0.271
O  0.054  0.762  0.037
O  0.061  0.272  0.236
O  0.108  0.784  0.500
O  0.174  0.201  0.859
O  0.176  0.947  0.689
O  0.205  0.677  0.799
O  0.222  0.467  0.300
O  0.227  0.007  0.448
O  0.251  0.353  0.078
O  0.253  0.558  0.572
O  0.268  0.434  0.790
O  0.284  0.909  0.950
O  0.305  0.233  0.299
O  0.325  0.704  0.347
O  0.330  0.978  0.193
O  0.403  0.134  0.005
O  0.443  0.617  0.731
O  0.450  0.225  0.762
O  0.455  0.157  0.522
O  0.479  0.415  0.968
O  0.479  0.896  0.420

Summary:
crystal system	monoclinic
formation energy (no corrections)	-92.224	eV per formula unit



# 8
The following is a DFT calculation (PBEsol) of crystalline LaNdNi10 at its relaxed geometry.

Cell lengths 3.911, 4.890, 8.472 Å; angles 90.00, 90.00, 90.00 degrees
Space group Pmmm (No. 47)
Asymmetric unit:
La  0.000  0.000  0.000
Nd  0.000  0.500  0.500
Ni  0.000  0.000  0.333
Ni  0.000  0.500  0.167
Ni  0.500  0.000  0.500
Ni  0.500  0.251  0.252
Ni  0.500  0.500  0.000

Summary:
E_form	-0.2695	eV/atom
crystal system	orthorhombic



# 9
The following is a DFT calculation (PBEsol) of crystalline ZrZn2Ag at its relaxed geometry.

Cell lengths 6.401, 6.401, 6.401 Å; angles 90.00, 90.00, 90.00 degrees
Space group F-43m (No. 216)
Asymmetric unit:
Zr  0.000  0.000  0.000
Zn  0.000  0.000  0.500
Zn  0.250  0.250  0.250
Ag  0.250  0.250  0.750

Summary:
E_form	-0.1639	eV/atom
crystal system	cubic



# 10
The following is a DFT calculation (PBEsol) of crystalline Sc2CS at its relaxed geometry.

Cell lengths 6.108, 6.108, 7.228 Å; angles 90.00, 90.00, 90.00 degrees
Space group I-42d (No. 122)
Asymmetric unit:
Sc  0.193  0.250  0.125
C  0.000  0.000  0.000
S  0.000  0.000  0.500

Summary:
crystal system	tetragonal
formation energy (no corrections)	-3.977	eV per formula unit



# 11
The following is a DFT calculation (PBEsol) of crystalline POsN2 at its relaxed geometry.

Cell lengths 4.427, 4.427, 8.112 Å; angles 90.00, 90.00, 90.00 degrees
Space group I-42d (No. 122)
Asymmetric unit:
P  0.000  0.000  0.000
Os  0.000  0.000  0.500
N  0.170  0.750  0.125

Summary:
crystal system	tetragonal
formation energy (no corrections)	1.669	eV per formula unit



# 12
The following is a DFT calculation (PBEsol) of crystalline Ta2InRe at its relaxed geometry.

Cell lengths 3.263, 4.696, 9.122 Å; angles 90.00, 90.00, 90.00 degrees
Space group Cmmm (No. 65)
Asymmetric unit:
Ta  0.000  0.000  0.232
In  0.000  0.500  0.500
Re  0.000  0.500  0.000

Summary:
E_form	0.0600	eV/atom
crystal system	orthorhombic



| no. | total energy (eV/atom) | total moment (Bohr magnetons per cell) |
| --- | --- | --- |
| 1 | -3.3843 | 0.00 |
| 2 | -6.1435 | 0.00 |
| 3 | -2.5688 | 0.00 |
| 4 | -10.9724 | 0.00 |
| 5 | -2.0027 | 0.00 |
| 6 | -6.7391 | 14.70 |
| 7 | -7.5951 | 4.00 |
| 8 | -6.2769 | 2.52 |
| 9 | -4.0551 | 0.00 |
| 10 | -7.8038 | 0.00 |
| 11 | -8.3479 | 0.00 |
| 12 | -10.2942 | 0.00 |